{"formula": "KHgPb2", "functional": "PBE", "state": "relaxed", "space_group": "Immm, No. 71", "formation_enthalpy_0k_ev_per_atom": -0.096, "volume_a3_per_cell": 130.3, "lattice_angstrom": [[-1.910, 2.848, 5.988], [1.910, -2.848, 5.988], [1.910, 2.848, -5.988]], "species": ["K", "Hg", "Pb", "Pb"], "fractional_positions": [[0.000, 0.000, 0.000], [0.500, 0.500, 0.000], [0.283, 0.783, 0.500], [0.717, 0.217, 0.500]]}